# 1
This record from the Alexandria database describes an optimized crystal structure of MgCd3Ag7. The functional is PBE-GGA.

## Properties
- Offset from the most stable computed form: 0 meV/atom
- Fermi-level density of states: 6.22 states/eV/cell
- DFT formation energy: -0.0317 eV/atom
- Symmetry: Cmcm, No. 63

The structure in POSCAR format:
```
MgCd3Ag7
1.0
3.154 0.000 0.000
-1.577 11.939 0.000
0.000 0.000 11.267
Ag Mg Cd
14 2 6
direct
0.348 0.696 0.422
0.523 0.045 0.616
0.350 0.700 0.750
0.652 0.304 0.578
0.650 0.300 0.250
0.477 0.955 0.384
0.523 0.045 0.884
0.783 0.566 0.583
0.217 0.434 0.083
0.783 0.566 0.917
0.348 0.696 0.078
0.477 0.955 0.116
0.652 0.304 0.922
0.217 0.434 0.417
0.906 0.811 0.250
0.094 0.189 0.750
0.080 0.161 0.087
0.781 0.561 0.250
0.080 0.161 0.413
0.219 0.439 0.750
0.920 0.839 0.913
0.920 0.839 0.587
```


# 2
This record from the Alexandria database describes an optimized crystal structure of Mg2Cd2Ag. The functional is PBE-GGA.

## Properties
- Offset from the most stable computed form: 66 meV/atom
- Fermi-level density of states: 2.63 states/eV/cell
- DFT formation energy: -0.0106 eV/atom
- Symmetry: P4/mbm, No. 127

The structure in POSCAR format:
```
Mg2Cd2Ag
1.0
7.509 0.000 0.000
0.000 7.509 0.000
0.000 0.000 3.866
Mg Cd Ag
4 4 2
direct
0.164 0.664 0.500
0.836 0.336 0.500
0.664 0.836 0.500
0.336 0.164 0.500
0.862 0.638 0.000
0.362 0.862 0.000
0.638 0.138 0.000
0.138 0.362 0.000
0.500 0.500 0.000
0.000 0.000 0.000
```


# 3
This record from the Alexandria database describes an optimized crystal structure of MgCdAg3. The functional is PBE-GGA.

## Properties
- Offset from the most stable computed form: 649 meV/atom
- Fermi-level density of states: 2.20 states/eV/cell
- DFT formation energy: 0.5331 eV/atom
- Symmetry: Pm-3m, No. 221

The structure in POSCAR format:
```
MgCdAg3
1.0
-4.656 -0.032 -1.722
-0.806 -4.345 2.262
-1.521 2.401 4.070
Mg Ag Cd
1 3 1
direct
0.000 0.000 0.000
0.500 0.000 0.000
0.000 0.500 0.000
0.000 0.000 0.500
0.500 0.500 0.500
```


Copy entry 3 word for word.
This record from the Alexandria database describes an optimized crystal structure of MgCdAg3. The functional is PBE-GGA.

## Properties
- Offset from the most stable computed form: 649 meV/atom
- Fermi-level density of states: 2.20 states/eV/cell
- DFT formation energy: 0.5331 eV/atom
- Symmetry: Pm-3m, No. 221

The structure in POSCAR format:
```
MgCdAg3
1.0
-4.656 -0.032 -1.722
-0.806 -4.345 2.262
-1.521 2.401 4.070
Mg Ag Cd
1 3 1
direct
0.000 0.000 0.000
0.500 0.000 0.000
0.000 0.500 0.000
0.000 0.000 0.500
0.500 0.500 0.500
```